# V2SiO7, optimized geometry, DFT PBE+U
data_V2SiO7
_cell_length_a 8.299
_cell_length_b 8.299
_cell_length_c 8.299
_cell_angle_alpha 90.00
_cell_angle_beta 90.00
_cell_angle_gamma 90.00
_symmetry_space_group_name_H-M 'P a -3'
_symmetry_Int_Tables_number 205
_symmetry_space_group_name_Hall '-P 2ac 2ab 3'
loop_
_atom_site_label
_atom_site_type_symbol
_atom_site_fract_x
_atom_site_fract_y
_atom_site_fract_z
V1 V 0.124 0.124 0.124
Si1 Si 0.000 0.000 0.500
O1 O 0.000 0.000 0.000
O2 O 0.062 0.180 0.599
# Fermi-level density of states: 0.000 states/eV per atom
# Calculated density: 2.8 g/cm³
# V: 571.6 Å³ per cell
# E: -301.835 eV per cell